# TeOsCl3 (PBE, relaxed)
data_TeOsCl3
_symmetry_space_group_name_H-M 'P m -3 m'
_symmetry_Int_Tables_number 221
_symmetry_space_group_name_Hall '-P 4 2 3'
_cell_length_a 5.426
_cell_length_b 5.426
_cell_length_c 5.426
_cell_angle_alpha 90.00
_cell_angle_beta 90.00
_cell_angle_gamma 90.00
loop_
_atom_site_label
_atom_site_type_symbol
_atom_site_fract_x
_atom_site_fract_y
_atom_site_fract_z
_atom_site_occupancy
Te1 Te 0.000 0.000 0.000 1
Os1 Os 0.500 0.500 0.500 1
Cl1 Cl 0.000 0.000 0.500 1
# * energy above the most stable polymorph in this dataset: 64.9 kJ per mole of atoms
# * formation energy (no corrections): 1.196 eV/atom
# * total magnetic moment: 4.50 μB/f.u.